Density functional theory data (PBE-GGA) for crystalline Mn2OsRh at its relaxed geometry.

Values from the calculation:
For the final energy, the calculation gives -36.51 eV/f.u. As for the symmetry: Imm2 (44). The crystal system is orthorhombic. The density of states at the Fermi level is 0.870 states/eV per atom. The theoretical density is 12.35 Mg/m³. The formation enthalpy at 0 K comes out at 0.10 eV/atom.

a b c (Å): 5.035 5.035 5.035
angles (deg): 145.67 130.48 61.64
Sites, in units of the cell vectors:
Mn: 0.000 0.000 0.000
Mn: 0.757 0.257 0.500
Os: 0.238 0.738 0.500
Rh: 0.508 0.508 0.000

***

Density functional theory data (PBE-GGA) for crystalline Mn2OsRh at its relaxed geometry.

Values from the calculation:
For the final energy, the calculation gives -35.71 eV/f.u. As for the symmetry: Cmm2 (35). The crystal system is orthorhombic. The density of states at the Fermi level is 1.442 states/eV per atom. The theoretical density is 12.35 Mg/m³. The formation enthalpy at 0 K comes out at 0.30 eV/atom.

a b c (Å): 2.641 2.641 8.734
angles (deg): 90.00 90.00 117.22
Sites, in units of the cell vectors:
Mn: 0.000 0.000 0.000
Mn: 0.500 0.500 0.237
Os: 0.500 0.500 0.760
Rh: 0.000 0.000 0.484

***

Density functional theory data (PBE-GGA) for crystalline MnOs2Rh at its relaxed geometry.

Values from the calculation:
For the final energy, the calculation gives -38.68 eV/f.u. As for the symmetry: P4mm (99). The crystal system is tetragonal. The density of states at the Fermi level is 1.160 states/eV per atom. The theoretical density is 16.18 Mg/m³. The formation enthalpy at 0 K comes out at 0.08 eV/atom.

a b c (Å): 2.704 2.704 7.552
angles (deg): 90.00 90.00 90.00
Sites, in units of the cell vectors:
Mn: 0.000 0.000 0.000
Os: 0.000 0.000 0.496
Os: 0.500 0.500 0.245
Rh: 0.500 0.500 0.754

***

Density functional theory data (PBE-GGA) for crystalline MnOs2Rh at its relaxed geometry.

Values from the calculation:
For the final energy, the calculation gives -37.41 eV/f.u. As for the symmetry: Cmm2 (35). The crystal system is orthorhombic. The density of states at the Fermi level is 1.185 states/eV per atom. The theoretical density is 15.59 Mg/m³. The formation enthalpy at 0 K comes out at 0.39 eV/atom.

a b c (Å): 2.680 2.680 9.004
angles (deg): 90.00 90.00 117.59
Sites, in units of the cell vectors:
Mn: 0.000 0.000 0.000
Os: 0.000 0.000 0.498
Os: 0.500 0.500 0.241
Rh: 0.500 0.500 0.760

***

Density functional theory data (PBE-GGA) for crystalline Mn2OsRh9 at its relaxed geometry.

Values from the calculation:
For the final energy, the calculation gives -96.62 eV/f.u. As for the symmetry: P4/mmm (123). The crystal system is tetragonal. The density of states at the Fermi level is 1.080 states/eV per atom. The theoretical density is 12.11 Mg/m³. The formation enthalpy at 0 K comes out at -0.07 eV/atom.

a b c (Å): 3.822 3.822 11.507
angles (deg): 90.00 90.00 90.00
Sites, in units of the cell vectors:
Mn: 0.000 0.000 0.161
Mn: 0.000 0.000 0.839
Os: 0.000 0.000 0.500
Rh: 0.000 0.500 0.000
Rh: 0.000 0.500 0.335
Rh: 0.000 0.500 0.665
Rh: 0.500 0.000 0.000
Rh: 0.500 0.000 0.335
Rh: 0.500 0.000 0.665
Rh: 0.500 0.500 0.168
Rh: 0.500 0.500 0.500
Rh: 0.500 0.500 0.832

***

Density functional theory data (PBE-GGA) for crystalline MnOs2Rh at its relaxed geometry.

Values from the calculation:
For the final energy, the calculation gives -38.83 eV/f.u. As for the symmetry: Pmm2 (25). The crystal system is orthorhombic. The density of states at the Fermi level is 0.981 states/eV per atom. The theoretical density is 16.14 Mg/m³. The formation enthalpy at 0 K comes out at 0.04 eV/atom.

a b c (Å): 2.718 3.786 5.382
angles (deg): 90.00 90.00 90.00
Sites, in units of the cell vectors:
Mn: 0.000 0.000 0.000
Os: 0.000 0.000 0.489
Os: 0.500 0.500 0.255
Rh: 0.500 0.500 0.759

***

Density functional theory data (PBE-GGA) for crystalline MnSiOs2Rh at its relaxed geometry.

Values from the calculation:
For the final energy, the calculation gives -38.09 eV/f.u. As for the symmetry: P4/mmm (123). The crystal system is tetragonal. The density of states at the Fermi level is 1.235 states/eV per atom. The theoretical density is 11.64 Mg/m³. As for the formation energy (no corrections): 1.263 eV per atom.

a b c (Å): 4.386 4.386 4.200
angles (deg): 90.00 90.00 90.00
Sites, in units of the cell vectors:
Mn: 0.000 0.000 0.000
Si: 0.000 0.000 0.500
Os: 0.000 0.500 0.000
Os: 0.500 0.000 0.000
Rh: 0.500 0.500 0.500

***

Density functional theory data (PBE-GGA) for crystalline TaMnOs2Rh at its relaxed geometry.

Values from the calculation:
For the final energy, the calculation gives -44.58 eV/f.u. As for the symmetry: P4/mmm (123). The crystal system is tetragonal. The density of states at the Fermi level is 1.366 states/eV per atom. The theoretical density is 14.10 Mg/m³. The formation enthalpy at 0 K comes out at 1.25 eV/atom.

a b c (Å): 4.393 4.393 4.390
angles (deg): 90.00 90.00 90.00
Sites, in units of the cell vectors:
Ta: 0.000 0.000 0.000
Mn: 0.500 0.500 0.500
Os: 0.000 0.500 0.500
Os: 0.500 0.000 0.500
Rh: 0.500 0.500 0.000

***

Density functional theory data (PBE-GGA) for crystalline Mn2OsRhW at its relaxed geometry.

Values from the calculation:
For the final energy, the calculation gives -41.17 eV/f.u. As for the symmetry: P4/mmm (123). The crystal system is tetragonal. The density of states at the Fermi level is 1.167 states/eV per atom. The theoretical density is 10.10 Mg/m³. The formation enthalpy at 0 K comes out at 1.74 eV/atom.

a b c (Å): 4.547 4.547 4.669
angles (deg): 90.00 90.00 90.00
Sites, in units of the cell vectors:
Mn: 0.000 0.500 0.000
Mn: 0.500 0.000 0.000
Os: 0.000 0.000 0.500
Rh: 0.500 0.500 0.500
W: 0.000 0.000 0.000

***

Density functional theory data (PBE-GGA) for crystalline MnOsRhW at its relaxed geometry.

Values from the calculation:
For the final energy, the calculation gives -40.45 eV/f.u. As for the symmetry: F-43m (216). The crystal system is cubic. The density of states at the Fermi level is 0.615 states/eV per atom. The theoretical density is 14.98 Mg/m³. The formation enthalpy at 0 K comes out at 0.06 eV/atom.

a b c (Å): 4.369 4.369 4.369
angles (deg): 60.00 60.00 60.00
Sites, in units of the cell vectors:
Mn: 0.000 0.000 0.000
Os: 0.250 0.250 0.250
Rh: 0.750 0.750 0.750
W: 0.500 0.500 0.500

***

Density functional theory data (PBE-GGA) for crystalline ZrMn2OsRh at its relaxed geometry.

Values from the calculation:
For the final energy, the calculation gives -40.76 eV/f.u. As for the symmetry: P4/mmm (123). The crystal system is tetragonal. The density of states at the Fermi level is 1.268 states/eV per atom. The theoretical density is 8.47 Mg/m³. The formation enthalpy at 0 K comes out at 0.94 eV/atom.

a b c (Å): 4.495 4.495 4.795
angles (deg): 90.00 90.00 90.00
Sites, in units of the cell vectors:
Zr: 0.000 0.000 0.000
Mn: 0.000 0.500 0.500
Mn: 0.500 0.000 0.500
Os: 0.500 0.500 0.500
Rh: 0.500 0.500 0.000

***

Density functional theory data (PBE-GGA) for crystalline Zr2MnOsRh at its relaxed geometry.

Values from the calculation:
For the final energy, the calculation gives -41.35 eV/f.u. As for the symmetry: P4/mmm (123). The crystal system is tetragonal. The density of states at the Fermi level is 0.972 states/eV per atom. The theoretical density is 9.28 Mg/m³. The formation enthalpy at 0 K comes out at 0.70 eV/atom.

a b c (Å): 4.714 4.714 4.271
angles (deg): 90.00 90.00 90.00
Sites, in units of the cell vectors:
Zr: 0.000 0.500 0.000
Zr: 0.500 0.000 0.000
Mn: 0.000 0.000 0.000
Os: 0.500 0.500 0.500
Rh: 0.000 0.000 0.500

***

Density functional theory data (PBE-GGA) for crystalline Mn2OsRu at its relaxed geometry.

Values from the calculation:
For the final energy, the calculation gives -38.51 eV/f.u. As for the symmetry: Cmmm (65). The crystal system is orthorhombic. The density of states at the Fermi level is 1.219 states/eV per atom. The theoretical density is 13.03 Mg/m³. The formation enthalpy at 0 K comes out at 0.08 eV/atom.

a b c (Å): 4.512 4.512 2.644
angles (deg): 90.00 90.00 108.19
Sites, in units of the cell vectors:
Mn: 0.000 0.500 0.000
Mn: 0.500 0.000 0.000
Os: 0.000 0.000 0.500
Ru: 0.500 0.500 0.500

***

Density functional theory data (PBE-GGA) for crystalline MnOs2Ru at its relaxed geometry.

Values from the calculation:
As for the energy above the most stable polymorph in this dataset: 0.0674 eV/atom. For the final energy, the calculation gives -40.37 eV/f.u. As for the symmetry: R-3m (166). The crystal system is trigonal. The density of states at the Fermi level is 0.958 states/eV per atom. The theoretical density is 16.40 Mg/m³. The formation enthalpy at 0 K comes out at 0.13 eV/atom.

a b c (Å): 8.778 8.778 8.778
angles (deg): 17.66 17.66 17.66
Sites, in units of the cell vectors:
Mn: 0.000 0.000 0.000
Os: 0.253 0.253 0.253
Os: 0.747 0.747 0.747
Ru: 0.500 0.500 0.500

***

Density functional theory data (PBE-GGA) for crystalline Mn2OsRu at its relaxed geometry.

Values from the calculation:
For the final energy, the calculation gives -38.66 eV/f.u. As for the symmetry: Pmm2 (25). The crystal system is orthorhombic. The density of states at the Fermi level is 0.800 states/eV per atom. The theoretical density is 12.55 Mg/m³. The formation enthalpy at 0 K comes out at 0.05 eV/atom.

a b c (Å): 2.689 3.741 5.277
angles (deg): 90.00 90.00 90.00
Sites, in units of the cell vectors:
Mn: 0.000 0.000 0.000
Mn: 0.500 0.500 0.237
Os: 0.000 0.000 0.497
Ru: 0.500 0.500 0.739

***

Density functional theory data (PBE-GGA) for crystalline MnOs2Ru at its relaxed geometry.

Values from the calculation:
As for the energy above the most stable polymorph in this dataset: 0.0157 eV/atom. For the final energy, the calculation gives -40.58 eV/f.u. As for the symmetry: I-4m2 (119). The crystal system is tetragonal. The density of states at the Fermi level is 0.921 states/eV per atom. The theoretical density is 16.34 Mg/m³. The formation enthalpy at 0 K comes out at 0.08 eV/atom.

a b c (Å): 4.639 4.639 4.639
angles (deg): 131.70 131.70 70.71
Sites, in units of the cell vectors:
Mn: 0.000 0.000 0.000
Os: 0.250 0.750 0.500
Os: 0.500 0.500 0.000
Ru: 0.750 0.250 0.500

***

Density functional theory data (PBE-GGA) for crystalline MnOs2Ru at its relaxed geometry.

Values from the calculation:
As for the energy above the most stable polymorph in this dataset: 0.0367 eV/atom. For the final energy, the calculation gives -40.49 eV/f.u. As for the symmetry: Pmmm (47). The crystal system is orthorhombic. The density of states at the Fermi level is 1.103 states/eV per atom. The theoretical density is 16.34 Mg/m³. The formation enthalpy at 0 K comes out at 0.10 eV/atom.

a b c (Å): 2.691 3.784 5.353
angles (deg): 90.00 90.00 90.00
Sites, in units of the cell vectors:
Mn: 0.000 0.000 0.000
Os: 0.500 0.500 0.242
Os: 0.500 0.500 0.758
Ru: 0.000 0.000 0.500

***

Density functional theory data (PBE-GGA) for crystalline Mn2OsRu at its relaxed geometry.

Values from the calculation:
For the final energy, the calculation gives -38.28 eV/f.u. As for the symmetry: Imm2 (44). The crystal system is orthorhombic. The density of states at the Fermi level is 0.966 states/eV per atom. The theoretical density is 12.50 Mg/m³. The formation enthalpy at 0 K comes out at 0.14 eV/atom.

a b c (Å): 4.974 4.974 4.974
angles (deg): 144.94 130.34 62.23
Sites, in units of the cell vectors:
Mn: 0.000 0.000 0.000
Mn: 0.760 0.260 0.500
Os: 0.246 0.746 0.500
Ru: 0.511 0.511 0.000

***

Density functional theory data (PBE-GGA) for crystalline Mn4OsRu2 at its relaxed geometry.

Values from the calculation:
For the final energy, the calculation gives -65.71 eV/f.u. As for the symmetry: P1 (1). The crystal system is triclinic. The density of states at the Fermi level is 1.137 states/eV per atom. The theoretical density is 11.28 Mg/m³. The formation enthalpy at 0 K comes out at 0.11 eV/atom.

a b c (Å): 4.788 6.482 6.516
angles (deg): 63.55 85.56 85.33
Sites, in units of the cell vectors:
Mn: 0.000 0.000 0.000
Mn: 0.027 0.445 0.844
Mn: 0.227 0.169 0.221
Mn: 0.318 0.906 0.684
Mn: 0.473 0.390 0.385
Mn: 0.505 0.823 0.110
Mn: 0.666 0.632 0.527
Mn: 0.810 0.867 0.735
Os: 0.484 0.211 0.816
Os: 0.979 0.585 0.144
Ru: 0.157 0.737 0.435
Ru: 0.523 0.516 0.964
Ru: 0.725 0.069 0.309
Ru: 0.987 0.268 0.567

***

Density functional theory data (PBE-GGA) for crystalline MnOsRu at its relaxed geometry.

Values from the calculation:
As for the energy above the most stable polymorph in this dataset: 0.4599 eV/atom. For the final energy, the calculation gives -27.99 eV/f.u. As for the symmetry: F-43m (216). The crystal system is cubic. The density of states at the Fermi level is 0.881 states/eV per atom. The theoretical density is 12.83 Mg/m³. The formation enthalpy at 0 K comes out at 0.56 eV/atom.

a b c (Å): 3.987 3.987 3.987
angles (deg): 60.00 60.00 60.00
Sites, in units of the cell vectors:
Mn: 0.000 0.000 0.000
Os: 0.250 0.250 0.250
Ru: 0.750 0.750 0.750